# 1
# LiPm2ZnGa6

A geometry-optimized LiPm2ZnGa6 structure (PBE, Alexandria via LeMat-Bulk).

abc: 12.0180 12.0180 12.0180
angles: 30.69 30.69 30.69
Fractional coordinates of all 20 atoms:
Li 0.0000 0.0000 0.0000
Li 0.5000 0.5000 0.5000
Pm 0.1077 0.1077 0.1077
Pm 0.2850 0.2850 0.2850
Pm 0.7150 0.7150 0.7150
Pm 0.8923 0.8923 0.8923
Zn 0.4279 0.4279 0.4279
Zn 0.5721 0.5721 0.5721
Ga 0.0695 0.6670 0.6670
Ga 0.2232 0.2232 0.6576
Ga 0.2232 0.6576 0.2232
Ga 0.3330 0.3330 0.9305
Ga 0.3330 0.9305 0.3330
Ga 0.3424 0.7768 0.7768
Ga 0.6576 0.2232 0.2232
Ga 0.6670 0.0695 0.6670
Ga 0.6670 0.6670 0.0695
Ga 0.7768 0.3424 0.7768
Ga 0.7768 0.7768 0.3424
Ga 0.9305 0.3330 0.3330

Crystal system: trigonal

# 2
# LiPmZnGa2

A geometry-optimized LiPmZnGa2 structure (PBE, Alexandria via LeMat-Bulk).

abc: 6.1346 6.1346 6.1346
angles: 139.48 139.48 58.64
Fractional coordinates of all 5 atoms:
Li 0.0000 0.0000 0.0000
Pm 0.2500 0.7500 0.5000
Zn 0.5000 0.5000 0.0000
Ga 0.6345 0.1345 0.5000
Ga 0.8655 0.3655 0.5000

Crystal system: tetragonal

# 3
# LiPmZn2Ga4

A geometry-optimized LiPmZn2Ga4 structure (PBE, Alexandria via LeMat-Bulk).

abc: 9.0032 9.0032 9.0032
angles: 28.42 28.42 28.42
Fractional coordinates of all 8 atoms:
Li 0.0000 0.0000 0.0000
Pm 0.5000 0.5000 0.5000
Zn 0.2575 0.2575 0.2575
Zn 0.7425 0.7425 0.7425
Ga 0.1032 0.1032 0.1032
Ga 0.3694 0.3694 0.3694
Ga 0.6306 0.6306 0.6306
Ga 0.8968 0.8968 0.8968

Crystal system: trigonal

# 4
# LiPm2Zn4Ga3

A geometry-optimized LiPm2Zn4Ga3 structure (PBE, Alexandria via LeMat-Bulk).

abc: 4.2518 4.2518 10.5753
angles: 90.00 90.00 90.00
Fractional coordinates of all 10 atoms:
Li 0.0000 0.0000 0.0000
Pm 0.0000 0.5000 0.7445
Pm 0.5000 0.0000 0.2555
Zn 0.0000 0.0000 0.5000
Zn 0.0000 0.5000 0.1288
Zn 0.5000 0.0000 0.8712
Zn 0.5000 0.5000 0.5000
Ga 0.0000 0.5000 0.3608
Ga 0.5000 0.0000 0.6392
Ga 0.5000 0.5000 0.0000

Crystal system: tetragonal

no.,ΔE_f (eV/f.u.),theoretical density (g cm⁻³),total magnetic moment (μB per cell)
1,-3.12,6.468,0.000
2,-2.28,6.137,0.000
3,-2.26,6.385,0.000
4,-4.26,6.668,0.000